Material: RbNaGe2Cl6
Method: DFT, GGA-PBE
State: relaxed

* E_tot: -3.50 eV/atom
* uncorrected formation energy: -12.36 eV per formula unit
* magnetic moment: 0.000 μB/f.u.

abc: 8.9747 9.5174 9.5174
angles: 100.41 73.72 73.72
Element x y z (fractional)
Cl  0.3678  0.9281  0.3699
Cl  0.0508  0.5484  0.6918
Cl  0.6669  0.7581  0.9859
Cl  0.1669  0.9859  0.7581
Cl  0.8331  0.0141  0.2419
Cl  0.9492  0.4516  0.3082
Cl  0.5508  0.6918  0.5484
Cl  0.6322  0.0719  0.6301
Cl  0.3331  0.2419  0.0141
Cl  0.1322  0.6301  0.0719
Cl  0.8678  0.3699  0.9281
Cl  0.4492  0.3082  0.4516
Ge  0.2926  0.7763  0.5274
Ge  0.7926  0.5274  0.7763
Ge  0.7074  0.2237  0.4726
Ge  0.2074  0.4726  0.2237
Na  0.2500  0.2626  0.7374
Na  0.7500  0.7374  0.2626
Rb  0.2500  0.9293  0.0707
Rb  0.7500  0.0707  0.9293

***

Material: K3Np3RuS8
Method: DFT, GGA-PBE
State: relaxed

* E_tot: -6.81 eV/atom
* uncorrected formation energy: -17.75 eV per formula unit
* magnetic moment: 10.000 μB/f.u.

abc: 7.6956 7.6948 8.8266
angles: 115.81 90.02 120.01
Site moments in Bohr magnetons follow the coordinates.
Element x y z (fractional)
S  0.2180  0.9705  0.6884  0.09
S  0.2473  0.0295  0.3116  0.09
S  0.7527  0.9705  0.6884  0.09
S  0.2179  0.4357  0.6883  0.09
S  0.7355  0.4707  0.7061  0.09
S  0.7820  0.0295  0.3116  0.09
S  0.7821  0.5643  0.3117  0.09
S  0.2645  0.5293  0.2939  0.09
K  0.0000  0.5000  0.0000  0.00
K  0.0000  0.0000  0.0000  0.00
K  0.5000  0.5000  0.0000  0.00
Np  0.0000  0.5000  0.5000  -3.53
Np  0.5000  0.5000  0.5000  -3.53
Np  0.5000  0.0000  0.5000  -3.53
Ru  0.0000  0.0000  0.5000  0.31

***

Material: NaVP2Cl
Method: DFT, GGA-PBE
State: relaxed

* E_tot: -3.31 eV/atom
* uncorrected formation energy: 6.57 eV per formula unit
* magnetic moment: 0.404 μB/f.u.
* distance to the lowest polymorph of the same formula: 1677 meV/atom

abc: 4.8233 4.8233 4.7499
angles: 90.00 90.00 90.00
Site moments in Bohr magnetons follow the coordinates.
Element x y z (fractional)
V  0.5000  0.5000  0.5000  0.13
Cl  0.0000  0.0000  0.5000  -0.05
P  0.0000  0.5000  0.0000  -0.11
P  0.5000  0.0000  0.0000  -0.11
Na  0.0000  0.0000  0.0000  0.00

***

| no. | DOS(E_F) (states/eV/cell) |
| --- | --- |
| 1 | 0.00 |
| 2 | 27.34 |
| 3 | 7.07 |